Record 1
## Ca3AcRh (GGA-PBE)

Data for a geometry-optimized Ca3AcRh structure.

Summary:
Its mass density is 4.25 g cm⁻³. The formation energy comes out at -0.13 eV per atom. The total energy comes out at -3.623 eV/atom.

Structure (extended XYZ):
```
5
Lattice="5.6042 0.0000 0.0000 0.0000 5.6042 0.0000 0.0000 0.0000 5.6042" Properties=species:S:1:pos:R:3 pbc="T T T"
Ca 0.0000 0.0000 2.8021
Ca 0.0000 2.8021 0.0000
Ca 2.8021 0.0000 0.0000
Ac 2.8021 2.8021 2.8021
Rh 0.0000 0.0000 0.0000
```

---

Record 2
## Ca5AcRh2 (GGA-PBE)

Data for a geometry-optimized Ca5AcRh2 structure.

Summary:
Its mass density is 4.38 g cm⁻³. The formation energy comes out at -0.24 eV per atom. The total energy comes out at -3.840 eV/atom.

Structure (extended XYZ):
```
8
Lattice="5.9588 -4.6624 0.0000 5.9588 4.6624 0.0000 -1.8342 0.0000 4.3199" Properties=species:S:1:pos:R:3 pbc="T T T"
Ca 0.0000 0.0000 0.0000
Ca 3.3251 2.9654 1.4228
Ca 6.7583 2.9654 2.8971
Ca 3.3251 -2.9654 1.4228
Ca 6.7583 -2.9654 2.8971
Ac 5.9588 0.0000 0.0000
Rh 2.8511 0.0000 1.2150
Rh 7.2323 0.0000 3.1049
```

---

Record 3
## Ca4AcRh2 (GGA-PBE)

Data for a geometry-optimized Ca4AcRh2 structure.

Summary:
Its mass density is 4.83 g cm⁻³. The formation energy comes out at -0.34 eV per atom. The total energy comes out at -4.168 eV/atom.

Structure (extended XYZ):
```
14
Lattice="8.0309 0.0000 0.0000 0.0000 6.4944 0.0000 -3.2201 0.0000 7.8172" Properties=species:S:1:pos:R:3 pbc="T T T"
Ca -0.6464 1.6236 3.7418
Ca 0.5434 4.8708 1.7444
Ca -0.8739 6.4938 7.2039
Ca -0.8739 3.2478 7.2039
Ca 5.6846 0.0006 0.6133
Ca 5.6846 3.2466 0.6133
Ca 4.2673 1.6236 6.0729
Ca 5.4571 4.8708 4.0754
Ac 2.7639 1.6236 2.7289
Ac 2.0469 4.8708 5.0883
Rh 0.3803 1.6236 1.0685
Rh 1.4037 1.6236 5.7968
Rh 3.4071 4.8708 2.0204
Rh 4.4305 4.8708 6.7487
```

---

Record 4
## Ca2Ac4Rh (GGA-PBE)

Data for a geometry-optimized Ca2Ac4Rh structure.

Summary:
Its mass density is 5.62 g cm⁻³. The formation energy comes out at -0.03 eV per atom. The total energy comes out at -3.996 eV/atom.

Structure (extended XYZ):
```
7
Lattice="-2.9042 2.9042 9.5594 2.9042 -2.9042 9.5594 2.9042 2.9042 -9.5594" Properties=species:S:1:pos:R:3 pbc="T T T"
Ca 0.0000 0.0000 2.7914
Ca 0.0000 0.0000 16.3273
Ac 2.9042 0.0000 0.0000
Ac 0.0000 0.0000 6.5898
Ac 0.0000 2.9042 0.0000
Ac 0.0000 0.0000 12.5289
Rh 0.0000 0.0000 9.5594
```

---

Record 5
## Ca3AcRh (GGA-PBE)

Data for a geometry-optimized Ca3AcRh structure.

Summary:
Its mass density is 4.13 g cm⁻³. The formation energy comes out at -0.22 eV per atom. The total energy comes out at -3.716 eV/atom.

Structure (extended XYZ):
```
10
Lattice="6.4265 -4.4552 0.0000 6.4265 4.4552 0.0000 -1.2258 0.0000 6.3257" Properties=species:S:1:pos:R:3 pbc="T T T"
Ca 4.0843 2.2723 4.9417
Ca 0.9004 0.0000 4.5836
Ca 7.5430 2.2723 1.3841
Ca 4.0843 -2.2723 4.9417
Ca 10.7269 0.0000 1.7421
Ca 7.5430 -2.2723 1.3841
Ac 4.2854 0.0000 1.7784
Ac 7.3419 0.0000 4.5474
Rh 0.0000 0.0000 0.0000
Rh 6.4265 0.0000 0.0000
```

---

Record 6
## CaAc5Rh3 (GGA-PBE)

Data for a geometry-optimized CaAc5Rh3 structure.

Summary:
Its mass density is 7.61 g cm⁻³. The formation energy comes out at -0.52 eV per atom. The total energy comes out at -5.479 eV/atom.

Structure (extended XYZ):
```
18
Lattice="7.0220 0.0000 0.0000 0.0000 4.3992 0.0000 -0.1371 0.0000 20.9736" Properties=species:S:1:pos:R:3 pbc="T T T"
Ca 1.3728 0.0000 4.8895
Ca 5.5121 0.0000 16.0840
Ac 1.1240 0.0000 18.9973
Ac 1.4879 0.0000 11.7958
Ac 1.9134 2.1996 8.2298
Ac 2.0267 2.1996 15.4596
Ac 2.2118 2.1996 1.5555
Ac 4.6732 2.1996 19.4180
Ac 4.8583 2.1996 5.5140
Ac 4.9715 2.1996 12.7438
Ac 5.3970 0.0000 9.1778
Ac 5.7609 0.0000 1.9763
Rh -0.0686 2.1996 10.4868
Rh -0.0132 2.1996 3.4727
Rh 3.4597 0.0000 6.9738
Rh 3.5110 0.0000 0.0000
Rh 3.4253 0.0000 13.9997
Rh 6.8981 2.1996 17.5009
```

---

Record 7
## Ca2Ac5Rh5 (GGA-PBE)

Data for a geometry-optimized Ca2Ac5Rh5 structure.

Summary:
Its mass density is 8.14 g cm⁻³. The formation energy comes out at -0.54 eV per atom. The total energy comes out at -5.646 eV/atom.

Structure (extended XYZ):
```
12
Lattice="7.0284 -2.0756 0.0000 7.0284 2.0756 0.0000 -3.3292 0.0000 12.0869" Properties=species:S:1:pos:R:3 pbc="T T T"
Ca -0.3795 0.0000 3.4399
Ca 11.1071 0.0000 8.6469
Ac 3.1661 0.0000 1.7508
Ac 3.3750 0.0000 5.4736
Ac 7.0284 0.0000 0.0000
Ac 7.3526 0.0000 6.6133
Ac 7.5615 0.0000 10.3361
Rh -1.6646 0.0000 6.0434
Rh -1.4670 0.0000 11.2010
Rh 1.8642 0.0000 8.3139
Rh 8.8634 0.0000 3.7730
Rh 12.1946 0.0000 0.8858
```

---

Record 8
## CaAc2Rh (GGA-PBE)

Data for a geometry-optimized CaAc2Rh structure.

Summary:
Its mass density is 6.26 g cm⁻³. The formation energy comes out at -0.39 eV per atom. The total energy comes out at -4.782 eV/atom.

Structure (extended XYZ):
```
4
Lattice="2.1386 1.2347 9.9947 -2.1386 1.2347 9.9947 0.0000 -2.4694 9.9947" Properties=species:S:1:pos:R:3 pbc="T T T"
Ca 0.0000 0.0000 0.0000
Ac 0.0000 0.0000 16.6018
Ac 0.0000 0.0000 23.3154
Rh 0.0000 0.0000 4.9533
```

---

What is the mass density in the third record?
4.83 g cm⁻³